[1]
Material: GeMo3Pt
Method: DFT, meta-GGA SCAN
State: PBEsol geometry

Cell and atoms, written as POSCAR:
```
GeMo3Pt
1.0
4.483 0.000 0.000
0.000 4.483 0.000
0.000 0.000 4.483
Ge Mo Pt
1 3 1
Cartesian
0.000 0.000 0.000
0.000 0.000 2.242
2.242 0.000 0.000
0.000 2.242 0.000
2.242 2.242 2.242
```

Computed properties:
The calculation puts the formation energy at 1.37 eV per atom. Its space group is No. 221.


[2]
Material: RbGeMo3
Method: DFT, meta-GGA SCAN
State: PBEsol geometry

Cell and atoms, written as POSCAR:
```
RbGeMo3
1.0
4.634 0.000 0.000
0.000 4.634 0.000
0.000 0.000 4.634
Ge Mo Rb
1 3 1
Cartesian
2.317 2.317 2.317
0.000 2.317 0.000
0.000 0.000 2.317
2.317 0.000 0.000
0.000 0.000 0.000
```

Computed properties:
The calculation puts the formation energy at 3.51 eV per atom. Its space group is No. 221.


[3]
Material: RbSn2GeMo
Method: DFT, meta-GGA SCAN
State: PBEsol geometry

Cell and atoms, written as POSCAR:
```
RbSn2GeMo
1.0
-4.671 0.272 1.557
1.585 -0.995 4.928
0.586 5.169 0.855
Rb Sn Ge Mo
1 2 1 1
Cartesian
-1.250 2.223 3.670
0.792 -0.497 2.464
0.293 2.584 0.427
-2.335 0.136 0.778
0.000 0.000 0.000
```

Computed properties:
The calculation puts the formation energy at 0.05 eV per atom. Its space group is No. 123.


[4]
Material: Ta2ReGeMo
Method: DFT, meta-GGA SCAN
State: PBEsol geometry

Cell and atoms, written as POSCAR:
```
Ta2ReGeMo
1.0
4.438 0.000 0.000
0.000 4.607 0.000
0.000 0.000 4.607
Ta Ge Re Mo
2 1 1 1
Cartesian
0.000 0.000 2.304
0.000 2.304 0.000
0.000 0.000 0.000
2.219 2.304 2.304
2.219 0.000 0.000
```

Computed properties:
The calculation puts the formation energy at 1.46 eV per atom. Its space group is No. 123.


[5]
Material: ZnReGeMo2
Method: DFT, meta-GGA SCAN
State: PBEsol geometry

Cell and atoms, written as POSCAR:
```
ZnReGeMo2
1.0
-3.272 -1.251 2.163
-0.771 -3.307 -3.079
2.673 -2.852 2.393
Re Zn Ge Mo
1 1 1 2
Cartesian
-0.685 -3.705 0.739
0.000 0.000 0.000
-1.636 -0.625 1.082
1.336 -1.426 1.197
-0.386 -1.653 -1.539
```

Computed properties:
The calculation puts the formation energy at 1.82 eV per atom. Its space group is No. 123.


[6]
Material: Si2GeMoS
Method: DFT, meta-GGA SCAN
State: PBEsol geometry

Cell and atoms, written as POSCAR:
```
Si2GeMoS
1.0
-3.160 3.045 1.273
-1.406 -2.837 3.294
3.189 2.014 3.096
Ge Mo S Si
1 1 1 2
Cartesian
0.000 0.000 0.000
1.594 1.007 1.548
-0.689 1.111 3.832
-1.580 1.523 0.637
-0.703 -1.418 1.647
```

Computed properties:
The raw formation energy comes out at 1.433 eV/atom. Its space group is No. 123.


[7]
Material: GeSb2TeMo
Method: DFT, meta-GGA SCAN
State: PBEsol geometry

Cell and atoms, written as POSCAR:
```
GeSb2TeMo
1.0
-0.204 5.122 0.242
-4.883 -0.120 -1.575
-1.611 -0.301 5.018
Mo Ge Sb Te
1 1 2 1
Cartesian
-3.349 2.351 1.843
0.000 0.000 0.000
-0.102 2.561 0.121
-2.441 -0.060 -0.787
-0.806 -0.150 2.509
```

Computed properties:
The raw formation energy comes out at 1.207 eV/atom. Its space group is No. 123.


[8]
Material: Sc2Ge4Mo3
Method: DFT, meta-GGA SCAN
State: PBEsol geometry

Cell and atoms, written as POSCAR:
```
Sc2Ge4Mo3
1.0
6.646 0.000 0.000
0.000 6.841 0.000
0.000 0.000 12.772
Sc Ge Mo
8 16 12
Cartesian
0.071 1.185 7.533
3.394 2.235 11.625
3.394 2.235 7.533
6.575 5.656 5.239
6.575 5.656 1.147
3.252 4.606 1.147
0.071 1.185 11.625
3.252 4.606 5.239
1.171 3.710 12.192
4.604 5.781 3.193
5.364 2.360 9.579
6.460 0.825 3.193
5.474 3.132 5.806
2.152 0.289 5.806
1.171 3.710 6.966
4.494 6.552 6.966
3.137 2.595 3.193
3.508 4.246 9.579
5.474 3.132 0.580
0.185 6.016 9.579
2.041 1.060 9.579
1.282 4.481 3.193
4.494 6.552 12.192
2.152 0.289 0.580
4.399 6.812 9.579
2.191 5.775 11.163
1.132 2.355 4.777
2.191 5.775 7.995
4.455 1.066 4.777
4.455 1.066 1.609
5.514 4.487 7.995
5.570 3.391 3.193
1.076 3.450 9.579
2.247 0.029 3.193
1.132 2.355 1.609
5.514 4.487 11.163
```

Computed properties:
The calculation puts the formation energy at -0.62 eV per atom. Its space group is No. 62.


[9]
Material: SnGe2Mo
Method: DFT, meta-GGA SCAN
State: PBEsol geometry

Cell and atoms, written as POSCAR:
```
SnGe2Mo
1.0
4.651 0.000 0.000
2.325 4.028 0.000
2.325 1.343 3.797
Sn Ge Mo
1 2 1
Cartesian
4.651 2.685 1.899
6.976 4.028 2.848
2.325 1.343 0.949
0.000 0.000 0.000
```

Computed properties:
The calculation puts the formation energy at 0.67 eV per atom. Its space group is No. 225.


[10]
Material: Sr3GeMo
Method: DFT, meta-GGA SCAN
State: PBEsol geometry

Cell and atoms, written as POSCAR:
```
Sr3GeMo
1.0
-4.177 3.894 -1.713
-2.055 0.255 5.590
3.724 4.507 1.163
Ge Sr Mo
1 3 1
Cartesian
0.000 0.000 0.000
1.862 2.254 0.582
-2.088 1.947 -0.857
-1.028 0.128 2.795
-1.254 4.328 2.520
```

Computed properties:
The calculation puts the formation energy at 0.56 eV per atom. Its space group is No. 221.


[11]
Material: TaTcGeMo2
Method: DFT, meta-GGA SCAN
State: PBEsol geometry

Cell and atoms, written as POSCAR:
```
TaTcGeMo2
1.0
-0.584 4.555 0.318
-4.073 -0.375 -2.114
-2.133 -0.567 4.209
Ta Mo Tc Ge
1 2 1 1
Cartesian
-1.066 -0.284 2.104
-2.036 -0.187 -1.057
-0.292 2.278 0.159
0.000 0.000 0.000
-3.395 1.807 1.207
```

Computed properties:
The calculation puts the formation energy at 1.48 eV per atom. Its space group is No. 123.


[12]
Material: TcGe3Mo
Method: DFT, meta-GGA SCAN
State: PBEsol geometry

Cell and atoms, written as POSCAR:
```
TcGe3Mo
1.0
-4.488 -1.615 0.115
0.644 -1.470 4.493
-1.485 4.241 1.601
Ge Mo Tc
3 1 1
Cartesian
-0.743 2.121 0.800
-2.244 -0.807 0.057
0.322 -0.735 2.246
0.000 0.000 0.000
-2.665 0.578 3.104
```

Computed properties:
The calculation puts the formation energy at 1.09 eV per atom. Its space group is No. 221.